A plane-wave DFT calculation with PBE-GGA was carried out for crystalline CsMgSnBi2 at its relaxed geometry.

Summary:
Energy of formation from the pure elements, eV/atom: -0.28
Symmetry: No. 119

a = 5.034 Å, b = 5.034 Å, c = 8.631 Å
α = 106.96°, β = 106.96°, γ = 90.00°
Fractional coordinates of all 5 atoms:
1 Mg 0.750 0.250 0.500
2 Bi 0.361 0.361 0.723
3 Bi 0.639 0.639 0.277
4 Sn 0.250 0.750 0.500
5 Cs 0.000 0.000 0.000